# PBE Hf2GaRh, relaxed
# energy relative to the elements = -9.653 kcal/mol of atoms
# DOS(E_F) = 0.3076 states/eV per atom
# total energy = -95.88 eV for the cell shown
# total magnetization = 0.0 Bohr magnetons per cell
data_Hf2GaRh
_cell_length_a 4.3686
_cell_length_b 4.3686
_cell_length_c 14.1290
_cell_angle_alpha 90.00
_cell_angle_beta 90.00
_cell_angle_gamma 120.00
_space_group_name_H-M_alt 'R 3 m'
_space_group_IT_number 160
_space_group_name_Hall 'R 3 -2"'
loop_
_atom_site_label
_atom_site_fract_x
_atom_site_fract_y
_atom_site_fract_z
Hf1 0.0000 0.0000 0.0000
Hf2 0.0000 0.0000 0.2034
Ga1 0.0000 0.0000 0.7841
Rh1 0.0000 0.0000 0.4084